# 1
SrPtF2 | PBE | optimized geometry

formation energy from raw total energies = -0.665 eV per atom
calculated volume = 85.04 Å³/cell

Structure (POSCAR):
```
SrPtF2
1.0
2.797 5.851 5.736
5.693 5.064 4.111
3.568 7.381 2.784
Sr Pt F
1 1 2
Direct
0.000 0.000 0.000 Sr
0.500 0.500 0.500 Pt
0.913 0.913 0.913 F
0.087 0.087 0.087 F
```


# 2
Sr2PtF2 | PBE | optimized geometry

formation energy from raw total energies = -2.265 eV per atom
calculated volume = 184.91 Å³/cell

Structure (POSCAR):
```
Sr2PtF2
1.0
-2.121 -1.202 -7.132
-4.742 -5.381 2.317
-2.358 2.219 0.327
Sr Pt F
4 2 4
Direct
0.184 0.684 0.500 Sr
0.684 0.816 0.500 Sr
0.816 0.316 0.500 Sr
0.316 0.184 0.500 Sr
0.000 0.000 0.000 Pt
0.500 0.500 0.000 Pt
0.383 0.883 0.000 F
0.883 0.617 0.000 F
0.617 0.117 0.000 F
0.117 0.383 0.000 F
```


# 3
Sr4Pt2F | PBE | optimized geometry

formation energy from raw total energies = -1.272 eV per atom
calculated volume = 197.75 Å³/cell

Structure (POSCAR):
```
Sr4Pt2F
1.0
4.916 0.000 0.000
0.000 4.916 0.000
-2.458 -2.458 8.184
Sr Pt F
4 2 1
Direct
0.812 0.812 0.624 Sr
0.188 0.188 0.376 Sr
0.000 0.500 0.000 Sr
0.500 0.000 0.000 Sr
0.625 0.625 0.251 Pt
0.375 0.375 0.749 Pt
0.000 0.000 0.000 F
```


# 4
SrPtF2 | PBE | optimized geometry

formation energy from raw total energies = -2.081 eV per atom
calculated volume = 80.20 Å³/cell

Structure (POSCAR):
```
SrPtF2
1.0
2.512 0.000 4.890
-1.256 2.176 4.890
-1.256 -2.176 4.890
Sr Pt F
1 1 2
Direct
0.500 0.500 0.500 Sr
0.000 0.000 0.000 Pt
0.862 0.862 0.862 F
0.138 0.138 0.138 F
```


# 5
SrPtF2 | PBE | optimized geometry

formation energy from raw total energies = -1.585 eV per atom
calculated volume = 64.98 Å³/cell

Structure (POSCAR):
```
SrPtF2
1.0
0.000 3.191 3.191
3.191 0.000 3.191
3.191 3.191 0.000
Sr Pt F
1 1 2
Direct
0.000 0.000 0.000 Sr
0.500 0.500 0.500 Pt
0.250 0.250 0.250 F
0.750 0.750 0.750 F
```


# 6
Sr2PtF2 | PBE | optimized geometry

formation energy from raw total energies = -2.252 eV per atom
calculated volume = 107.04 Å³/cell

Structure (POSCAR):
```
Sr2PtF2
1.0
-0.850 -3.395 3.420
-2.043 -2.891 -3.378
2.540 -4.984 -0.816
Sr Pt F
2 1 2
Direct
0.750 0.250 0.500 Sr
0.250 0.750 0.500 Sr
0.000 0.000 0.000 Pt
0.330 0.330 0.339 F
0.670 0.670 0.661 F
```


# 7
SrPtF2 | PBE | optimized geometry

formation energy from raw total energies = -1.691 eV per atom
calculated volume = 147.58 Å³/cell

Structure (POSCAR):
```
SrPtF2
1.0
-0.141 4.286 0.968
-0.433 -0.977 4.264
7.308 1.726 3.404
Sr Pt F
2 2 4
Direct
0.500 0.500 0.000 Sr
0.250 0.750 0.500 Sr
0.000 0.000 0.000 Pt
0.750 0.250 0.500 Pt
0.651 0.125 0.250 F
0.099 0.625 0.250 F
0.375 0.349 0.750 F
0.875 0.901 0.750 F
```


# 8
Sr2PtF | PBE | optimized geometry

formation energy from raw total energies = -1.699 eV per atom
calculated volume = 212.63 Å³/cell

Structure (POSCAR):
```
Sr2PtF
1.0
-1.350 -0.838 -7.017
7.067 -0.255 -1.329
2.805 -4.624 -3.676
Sr Pt F
4 2 2
Direct
0.573 0.125 0.250 Sr
0.177 0.625 0.250 Sr
0.375 0.427 0.750 Sr
0.875 0.823 0.750 Sr
0.000 0.000 0.000 Pt
0.750 0.250 0.500 Pt
0.500 0.500 0.000 F
0.250 0.750 0.500 F
```